1.
DFT (PBE) results for crystalline TcAs2H at its relaxed geometry.

Summary:
**Excess energy over the best structure of this formula in the dataset**: 0.104 eV/atom
**N(E_F)**: 13.8 states/eV per cell
**V**: 220 Å³ per cell
**ρ**: 7.53 g/cm3

CIF file:
```
data_TcAs2H
_cell_length_a 6.033
_cell_length_b 6.033
_cell_length_c 6.033
_cell_angle_alpha 90.00
_cell_angle_beta 90.00
_cell_angle_gamma 90.00
_space_group_name_H-M_alt 'F m -3 m'
_space_group_IT_number 225
_space_group_name_Hall '-F 4 2 3'
loop_
_atom_site_label
_atom_site_fract_x
_atom_site_fract_y
_atom_site_fract_z
_atom_site_occupancy
Tc1 0.000 0.000 0.000 1
As1 0.250 0.250 0.250 1
H1 0.000 0.000 0.500 1
```


2.
DFT (PBE) results for crystalline NbPN2F at its relaxed geometry.

Summary:
**Excess energy over the best structure of this formula in the dataset**: 0.221 eV/atom
**N(E_F)**: 2.0 states/eV per cell
**V**: 52 Å³ per cell
**Formation energy from raw total energies**: 1.74 eV per formula unit
**ρ**: 5.49 g/cm3

CIF file:
```
data_NbPN2F
_cell_length_a 3.784
_cell_length_b 3.784
_cell_length_c 3.612
_cell_angle_alpha 90.00
_cell_angle_beta 90.00
_cell_angle_gamma 90.00
_space_group_name_H-M_alt 'P 4/m m m'
_space_group_IT_number 123
_space_group_name_Hall '-P 4 2'
loop_
_atom_site_label
_atom_site_fract_x
_atom_site_fract_y
_atom_site_fract_z
_atom_site_occupancy
Nb1 0.000 0.000 0.000 1
P1 0.500 0.500 0.500 1
N1 0.000 0.500 0.500 1
F1 0.500 0.500 0.000 1
```


3.
DFT (PBE) results for crystalline Rb2CeCuCl6 at its relaxed geometry.

Summary:
**Excess energy over the best structure of this formula in the dataset**: 0.018 eV/atom
**N(E_F)**: 11.5 states/eV per cell
**V**: 1186 Å³ per cell
**Formation energy from raw total energies**: -17.31 eV per formula unit
**ρ**: 3.29 g/cm3

CIF file:
```
data_Rb2CeCuCl6
_cell_length_a 10.586
_cell_length_b 10.586
_cell_length_c 10.586
_cell_angle_alpha 90.00
_cell_angle_beta 90.00
_cell_angle_gamma 90.00
_space_group_name_H-M_alt 'F m -3 m'
_space_group_IT_number 225
_space_group_name_Hall '-F 4 2 3'
loop_
_atom_site_label
_atom_site_fract_x
_atom_site_fract_y
_atom_site_fract_z
_atom_site_occupancy
Rb1 0.250 0.250 0.250 1
Ce1 0.000 0.000 0.000 1
Cu1 0.000 0.000 0.500 1
Cl1 0.000 0.000 0.259 1
```


4.
DFT (PBE) results for crystalline Ti4NiGe at its relaxed geometry.

Summary:
**N(E_F)**: 31.6 states/eV per cell
**V**: 401 Å³ per cell
**VASP energy**: -42.59 eV per formula unit
**ρ**: 5.34 g/cm3

CIF file:
```
data_Ti4NiGe
_cell_length_a 13.511
_cell_length_b 4.904
_cell_length_c 6.233
_cell_angle_alpha 90.00
_cell_angle_beta 103.77
_cell_angle_gamma 90.00
_space_group_name_H-M_alt 'C 1 2/c 1'
_space_group_IT_number 15
loop_
_space_group_symop_operation_xyz
'x,y,z'
'-x,-y,-z'
'-x,y,-z+1/2'
'x,-y,z+1/2'
'x+1/2,y+1/2,z'
'-x+1/2,-y+1/2,-z'
'-x+1/2,y+1/2,-z+1/2'
'x+1/2,-y+1/2,z+1/2'
loop_
_atom_site_label
_atom_site_fract_x
_atom_site_fract_y
_atom_site_fract_z
_atom_site_occupancy
Ti1 0.076 0.120 0.441 1
Ti2 0.167 0.366 0.118 1
Ni1 0.250 0.250 0.500 1
Ge1 0.000 0.383 0.750 1
```


Q: Which of these has the lowest N(E_F)?
A: NbPN2F


What did the fourth record say?
DFT (PBE) results for crystalline Ti4NiGe at its relaxed geometry.

Summary:
**N(E_F)**: 31.6 states/eV per cell
**V**: 401 Å³ per cell
**VASP energy**: -42.59 eV per formula unit
**ρ**: 5.34 g/cm3

CIF file:
```
data_Ti4NiGe
_cell_length_a 13.511
_cell_length_b 4.904
_cell_length_c 6.233
_cell_angle_alpha 90.00
_cell_angle_beta 103.77
_cell_angle_gamma 90.00
_space_group_name_H-M_alt 'C 1 2/c 1'
_space_group_IT_number 15
loop_
_space_group_symop_operation_xyz
'x,y,z'
'-x,-y,-z'
'-x,y,-z+1/2'
'x,-y,z+1/2'
'x+1/2,y+1/2,z'
'-x+1/2,-y+1/2,-z'
'-x+1/2,y+1/2,-z+1/2'
'x+1/2,-y+1/2,z+1/2'
loop_
_atom_site_label
_atom_site_fract_x
_atom_site_fract_y
_atom_site_fract_z
_atom_site_occupancy
Ti1 0.076 0.120 0.441 1
Ti2 0.167 0.366 0.118 1
Ni1 0.250 0.250 0.500 1
Ge1 0.000 0.383 0.750 1
```


Q: Among the records above, which one has the highest ρ?
A: TcAs2H


What did the third record say?
DFT (PBE) results for crystalline Rb2CeCuCl6 at its relaxed geometry.

Summary:
**Excess energy over the best structure of this formula in the dataset**: 0.018 eV/atom
**N(E_F)**: 11.5 states/eV per cell
**V**: 1186 Å³ per cell
**Formation energy from raw total energies**: -17.31 eV per formula unit
**ρ**: 3.29 g/cm3

CIF file:
```
data_Rb2CeCuCl6
_cell_length_a 10.586
_cell_length_b 10.586
_cell_length_c 10.586
_cell_angle_alpha 90.00
_cell_angle_beta 90.00
_cell_angle_gamma 90.00
_space_group_name_H-M_alt 'F m -3 m'
_space_group_IT_number 225
_space_group_name_Hall '-F 4 2 3'
loop_
_atom_site_label
_atom_site_fract_x
_atom_site_fract_y
_atom_site_fract_z
_atom_site_occupancy
Rb1 0.250 0.250 0.250 1
Ce1 0.000 0.000 0.000 1
Cu1 0.000 0.000 0.500 1
Cl1 0.000 0.000 0.259 1
```